VASP calculation (PBE) on a relaxed Ce4TlIr crystal. Values from VASP.

Cell and atoms, written as Quantum ESPRESSO input:
```
&SYSTEM
  ibrav = 0, nat = 12, ntyp = 3
/
ATOMIC_SPECIES
Ce 140.12 Ce.upf
Tl 204.38 Tl.upf
Ir 192.22 Ir.upf
ATOMIC_POSITIONS crystal
Ce 0.011 0.160 0.783
Ce 0.764 0.675 0.615
Ce 0.272 0.623 0.783
Ce 0.351 0.940 0.615
Ce 0.649 0.060 0.385
Ce 0.728 0.377 0.217
Ce 0.236 0.325 0.385
Ce 0.989 0.840 0.217
Tl 0.350 0.600 0.201
Tl 0.650 0.400 0.799
Ir 0.253 0.003 0.006
Ir 0.747 0.997 0.994
CELL_PARAMETERS angstrom
5.843 -0.535 0.000
-2.109 8.603 0.000
-1.867 -4.034 6.205
```

Properties
space group	C2/c (15)



VASP calculation (PBE) on a relaxed SmPaAsP crystal. Values from VASP.

Cell and atoms, written as Quantum ESPRESSO input:
```
&SYSTEM
  ibrav = 0, nat = 4, ntyp = 4
/
ATOMIC_SPECIES
Sm 150.36 Sm.upf
Pa 231.04 Pa.upf
As 74.92 As.upf
P 30.97 P.upf
ATOMIC_POSITIONS crystal
Sm 0.953 0.375 0.343
Pa 0.318 0.557 0.890
As 0.480 0.138 0.633
P 0.127 0.962 0.104
CELL_PARAMETERS angstrom
4.032 0.000 0.000
-2.016 3.492 0.000
-2.016 -1.164 6.971
```

Properties
space group	R3m (160)



Looking at M_tot for the records above, in order, we have 4.0 0.0 μB per cell.
Looking at formation enthalpy at 0 K for the records above, in order, we have -0.34 -1.26 eV per atom.